The following is a DFT calculation (GGA-PBE) of an optimized crystal structure of SrSiIr.

Properties
- Spin magnetization: 0.00 μB per cell
- E_tot: -0.31067 Ry/atom

a = 6.7424 Å, b = 6.7424 Å, c = 6.7424 Å
α = 90.00°, β = 90.00°, γ = 90.00°
Space group F-43m (No. 216)
Asymmetric unit:
Sr: 0.0000 0.0000 0.0000 [4 per cell]
Si: 0.2500 0.2500 0.7500 [4 per cell]
Ir: 0.2500 0.2500 0.2500 [4 per cell]



The following is a DFT calculation (GGA-PBE) of an optimized crystal structure of SrSiIr4.

Properties
- Spin magnetization: 0.00 μB per cell
- E_tot: -0.50736 Ry/atom

a = 7.5483 Å, b = 7.5483 Å, c = 7.5483 Å
α = 90.00°, β = 90.00°, γ = 90.00°
Space group F-43m (No. 216)
Asymmetric unit:
Sr: 0.0000 0.0000 0.0000 [4 per cell]
Si: 0.2500 0.2500 0.2500 [4 per cell]
Ir: 0.1243 0.1243 0.6243 [16 per cell]



The following is a DFT calculation (GGA-PBE) of an optimized crystal structure of SrSi2TcIr.

Properties
- Spin magnetization: 0.00 μB per cell
- E_tot: -0.51656 Ry/atom

a = 4.2773 Å, b = 4.2773 Å, c = 10.1728 Å
α = 90.00°, β = 90.00°, γ = 90.00°
Space group I-4m2 (No. 119)
Asymmetric unit:
Sr: 0.0000 0.0000 0.0000 [2 per cell]
Si: 0.0000 0.0000 0.3593 [4 per cell]
Tc: 0.0000 0.5000 0.2500 [2 per cell]
Ir: 0.0000 0.5000 0.7500 [2 per cell]